1.
Density functional theory data (PBE) for a relaxed ZnAsP2 crystal.

Properties
Crystal system: tetragonal
Spin magnetization, μB per formula unit: 0.000
Relative energy among the computed polymorphs, eV per atom: 0.4713
Space group: No. 123
Fermi-level density of states, states/eV/cell: 2.58
ρ, g/cm³: 4.9
Energy of formation from the pure elements, meV per atom: 515

Cell lengths 2.620, 2.620, 10.011 Å; angles 90.00, 90.00, 90.00 degrees
Atoms (fractional coordinates):
P1 0.000 0.000 0.046
Zn1 0.500 0.500 0.250
P2 0.000 0.000 0.454
As1 0.500 0.500 0.750

---

2.
Density functional theory data (PBE) for a relaxed Sc2TlPb crystal.

Properties
Crystal system: tetragonal
Spin magnetization, μB per formula unit: 1.128
Relative energy among the computed polymorphs, eV per atom: 0.0312
Space group: No. 139
Fermi-level density of states, states/eV/cell: 3.05
ρ, g/cm³: 8.7
Energy of formation from the pure elements, meV per atom: -288

Cell lengths 5.459, 5.459, 5.459 Å; angles 128.83, 128.77, 75.33 degrees
Each line ends with the local moment (μB).
Atoms (fractional coordinates):
Sc1 0.500 0.500 0.000  0.38
Pb1 0.250 0.750 0.500  -0.01
Tl1 0.750 0.250 0.500  0.00
Sc2 0.000 0.000 0.000  0.38

---

3.
Density functional theory data (PBE) for a relaxed NaVGa crystal.

Properties
Crystal system: orthorhombic
Spin magnetization, μB per formula unit: 0.368
Space group: No. 69
Fermi-level density of states, states/eV/cell: 4.23
ρ, g/cm³: 3.9
Energy of formation from the pure elements, meV per atom: 303

Cell lengths 4.442, 5.237, 6.180 Å; angles 81.23, 68.94, 64.90 degrees
Each line ends with the local moment (μB).
Atoms (fractional coordinates):
V1 0.750 0.500 0.500  0.33
Na1 0.851 0.297 0.000  0.00
Ga1 0.694 0.000 0.612  -0.01
Ga2 0.306 0.000 0.388  -0.01
V2 0.250 0.500 0.500  0.33
Na2 0.149 0.703 0.000  0.00